(1)
MnFe2Mo | GGA-PBEsol | optimized geometry

Unit cell a=4.0655 b=4.0655 c=4.0655 alpha=60.00 beta=60.00 gamma=60.00
Sites, in units of the cell vectors:
Mo1 0.5000 0.5000 0.5000
Fe1 0.2500 0.2500 0.2500
Fe2 0.7500 0.7500 0.7500
Mn1 0.0000 0.0000 0.0000

Calculated values
E_form = 0.090 eV per atom
E = -39.10 eV/cell
size of the total moment = 1.24 μB per atom

(2)
Mn2FeMo | GGA-PBEsol | optimized geometry

Unit cell a=3.0190 b=3.9332 c=3.9975 alpha=90.00 beta=90.00 gamma=90.00
Sites, in units of the cell vectors:
Mn1 0.0000 0.0000 0.0000
Mn2 0.5000 0.0000 0.5000
Fe1 0.0000 0.5000 0.5000
Mo1 0.5000 0.5000 0.0000

Calculated values
E_form = 0.124 eV per atom
E = -39.76 eV/cell
size of the total moment = 0.93 μB per atom

(3)
MnFe2Mo | GGA-PBEsol | optimized geometry

Unit cell a=2.5474 b=3.4567 c=5.2255 alpha=90.00 beta=90.00 gamma=90.00
Sites, in units of the cell vectors:
Mn1 0.0000 0.0000 0.4619
Fe1 0.5000 0.5000 0.2598
Fe2 0.0000 0.0000 0.0245
Mo1 0.5000 0.5000 0.7538

Calculated values
E_form = 0.146 eV per atom
E = -38.87 eV/cell
size of the total moment = 0.27 μB per atom

(4)
Mn8Fe3N8 | GGA-PBEsol | optimized geometry

Unit cell a=3.9615 b=6.2402 c=7.3404 alpha=105.11 beta=105.65 gamma=90.00
Sites, in units of the cell vectors:
Mn1 0.6809 0.4168 0.3618
Fe1 0.7739 0.8562 0.5478
Mn2 0.4034 0.0359 0.8068
Mn3 0.1427 0.6939 0.2854
Mn4 0.0440 0.2267 0.0880
N1 0.4571 0.7691 0.9143
Mn5 0.9560 0.7733 0.9120
Mn6 0.8573 0.3061 0.7146
N2 0.0946 0.9597 0.1892
Mn7 0.5966 0.9641 0.1932
N3 0.1805 0.4141 0.3609
Fe2 0.2261 0.1438 0.4522
N4 0.9054 0.0403 0.8108
N5 0.8195 0.5859 0.6391
N6 0.6385 0.6893 0.2769
Mn8 0.3191 0.5832 0.6382
Fe3 0.5000 0.5000 0.0000
N7 0.3615 0.3107 0.7231
N8 0.5429 0.2309 0.0857

Calculated values
E = -178.43 eV/cell
ΔE_f (raw) = -0.2759 eV/atom
size of the total moment = 1.30 μB per atom

(5)
Mn9Fe2N8 | GGA-PBEsol | optimized geometry

Unit cell a=4.0010 b=6.3596 c=7.3206 alpha=106.66 beta=105.86 gamma=90.00
Sites, in units of the cell vectors:
N1 0.4574 0.7670 0.9149
Mn1 0.4020 0.0279 0.8041
N2 0.8218 0.5685 0.6436
Fe1 0.7805 0.8179 0.5610
Mn2 0.5000 0.5000 0.0000
Mn3 0.9569 0.7763 0.9138
N3 0.3574 0.2943 0.7147
N4 0.6426 0.7057 0.2853
Mn4 0.0431 0.2237 0.0862
Mn5 0.6779 0.4254 0.3558
Mn6 0.1476 0.7133 0.2953
Mn7 0.8524 0.2867 0.7047
Fe2 0.2195 0.1821 0.4390
N5 0.1782 0.4315 0.3564
N6 0.0988 0.9647 0.1975
N7 0.9012 0.0353 0.8025
Mn8 0.3221 0.5746 0.6442
Mn9 0.5980 0.9721 0.1959
N8 0.5426 0.2330 0.0851

Calculated values
E = -179.75 eV/cell
ΔE_f (raw) = -0.3034 eV/atom
size of the total moment = 1.05 μB per atom

(6)
MnFeN2 | GGA-PBEsol | optimized geometry

Unit cell a=4.1968 b=4.1968 c=5.1317 alpha=114.14 beta=114.14 gamma=90.00
Sites, in units of the cell vectors:
N1 0.6250 0.6230 0.7500
N2 0.3770 0.8750 0.2500
Fe1 0.0000 0.0000 0.0000
Mn1 0.5000 0.5000 0.0000
Fe2 0.2500 0.7500 0.5000
N3 0.1250 0.1270 0.7500
Mn2 0.7500 0.2500 0.5000
N4 0.8730 0.3750 0.2500

Calculated values
E = -74.58 eV/cell
ΔE_f (raw) = -0.3778 eV/atom
size of the total moment = 0.13 μB per atom

(7)
MnFeRh2N | GGA-PBEsol | optimized geometry

Unit cell a=3.6953 b=4.0193 c=4.0193 alpha=90.00 beta=90.00 gamma=90.00
Sites, in units of the cell vectors:
Rh1 0.0000 0.0000 0.5000
Fe1 0.5000 0.0000 0.0000
Mn1 0.5000 0.5000 0.5000
Rh2 0.0000 0.5000 0.0000
N1 0.0000 0.0000 0.0000

Calculated values
E = -43.29 eV/cell
ΔE_f (raw) = 0.0472 eV/atom
size of the total moment = 1.27 μB per atom

(8)
MnFeS2N | GGA-PBEsol | optimized geometry

Unit cell a=3.3911 b=4.5714 c=4.5714 alpha=90.00 beta=90.00 gamma=90.00
Sites, in units of the cell vectors:
Fe1 0.5000 0.5000 0.5000
S1 0.0000 0.5000 0.0000
N1 0.5000 0.0000 0.0000
Mn1 0.0000 0.0000 0.0000
S2 0.0000 0.0000 0.5000

Calculated values
E = -34.12 eV/cell
ΔE_f (raw) = 0.3796 eV/atom
size of the total moment = 0.46 μB per atom